[1]
Computed, not measured: an optimized crystal structure of KGaSn2 at the GGA-PBE level of DFT.

## Properties
Crystal system ... trigonal
Fermi-level density of states ... 2.516 states/eV/cell
Energy relative to the elements ... -22 kJ/mol of formula units

Structure (CIF):
```
data_KGaSn2
_chemical_formula_sum 'K3 Ga3 Sn6'
_cell_length_a 4.5753
_cell_length_b 4.5753
_cell_length_c 21.7255
_cell_angle_alpha 90.00
_cell_angle_beta 90.00
_cell_angle_gamma 120.00
_symmetry_space_group_name_H-M 'R -3 m'
_symmetry_Int_Tables_number 166
_symmetry_space_group_name_Hall '-R 3 2"'
loop_
_atom_site_label
_atom_site_fract_x
_atom_site_fract_y
_atom_site_fract_z
K1 0.0000 0.0000 0.0000
Ga1 0.0000 0.0000 0.5000
Sn1 0.0000 0.0000 0.2170
```

---

[2]
Computed, not measured: an optimized crystal structure of KGaSn2 at the GGA-PBE level of DFT.

## Properties
Crystal system ... tetragonal
Fermi-level density of states ... 5.140 states/eV/cell
Energy relative to the elements ... 21 kJ/mol of formula units

Structure (CIF):
```
data_KGaSn2
_chemical_formula_sum 'K4 Ga4 Sn8'
_cell_length_a 5.686
_cell_length_b 5.686
_cell_length_c 18.957
_cell_angle_alpha 90.00
_cell_angle_beta 90.00
_cell_angle_gamma 90.00
_symmetry_space_group_name_H-M 'I -4 2 d'
_symmetry_Int_Tables_number 122
_symmetry_space_group_name_Hall 'I -4 2bw'
loop_
_atom_site_label
_atom_site_fract_x
_atom_site_fract_y
_atom_site_fract_z
K1 0.000 0.000 0.000
Ga1 0.000 0.000 0.500
Sn1 0.074 0.250 0.625
```

---

[3]
Computed, not measured: an optimized crystal structure of KGaSn2 at the GGA-PBE level of DFT.

## Properties
Crystal system ... trigonal
Fermi-level density of states ... 2.067 states/eV/cell
Energy relative to the elements ... -21 kJ/mol of formula units

Structure (CIF):
```
data_KGaSn2
_chemical_formula_sum 'K3 Ga3 Sn6'
_cell_length_a 4.5303
_cell_length_b 4.5303
_cell_length_c 22.4490
_cell_angle_alpha 90.00
_cell_angle_beta 90.00
_cell_angle_gamma 120.00
_symmetry_space_group_name_H-M 'R 3 m'
_symmetry_Int_Tables_number 160
_symmetry_space_group_name_Hall 'R 3 -2"'
loop_
_atom_site_label
_atom_site_fract_x
_atom_site_fract_y
_atom_site_fract_z
K1 0.0000 0.0000 0.0000
Ga1 0.0000 0.0000 0.1729
Sn1 0.0000 0.0000 0.5550
Sn2 0.0000 0.0000 0.7873
```

---

[4]
Computed, not measured: an optimized crystal structure of K2Ga5Sn3 at the GGA-PBE level of DFT.

## Properties
Crystal system ... tetragonal
Fermi-level density of states ... 2.691 states/eV/cell
Energy relative to the elements ... -132 kJ/mol of formula units

Structure (CIF):
```
data_K2Ga5Sn3
_chemical_formula_sum 'K2 Ga5 Sn3'
_cell_length_a 4.860
_cell_length_b 4.860
_cell_length_c 11.425
_cell_angle_alpha 90.00
_cell_angle_beta 90.00
_cell_angle_gamma 90.00
_symmetry_space_group_name_H-M 'P -4 m 2'
_symmetry_Int_Tables_number 115
loop_
_symmetry_equiv_pos_as_xyz
'x,y,z'
'y,-x,-z'
'-x,-y,z'
'-y,x,-z'
'-x,y,z'
'-y,-x,-z'
'x,-y,z'
'y,x,-z'
loop_
_atom_site_label
_atom_site_fract_x
_atom_site_fract_y
_atom_site_fract_z
K1 0.000 0.500 0.234
Ga1 0.000 0.000 0.000
Ga2 0.000 0.000 0.500
Ga3 0.000 0.500 0.893
Ga4 0.500 0.500 0.000
Sn1 0.000 0.500 0.647
Sn2 0.500 0.500 0.500
```

---

[5]
Computed, not measured: an optimized crystal structure of KGaSn2 at the GGA-PBE level of DFT.

## Properties
Crystal system ... monoclinic
Fermi-level density of states ... 3.650 states/eV/cell
Energy relative to the elements ... -52 kJ/mol of formula units

Structure (CIF):
```
data_KGaSn2
_chemical_formula_sum 'K4 Ga4 Sn8'
_cell_length_a 4.850
_cell_length_b 12.597
_cell_length_c 8.312
_cell_angle_alpha 90.00
_cell_angle_beta 90.03
_cell_angle_gamma 90.00
_symmetry_space_group_name_H-M 'P 1 21/c 1'
_symmetry_Int_Tables_number 14
loop_
_symmetry_equiv_pos_as_xyz
'x,y,z'
'-x,-y,-z'
'-x,y+1/2,-z+1/2'
'x,-y+1/2,z+1/2'
loop_
_atom_site_label
_atom_site_fract_x
_atom_site_fract_y
_atom_site_fract_z
K1 0.249 0.132 0.379
Ga1 0.250 0.642 0.806
Sn1 0.250 0.069 0.849
Sn2 0.251 0.660 0.457
```

---

[6]
Computed, not measured: an optimized crystal structure of KGaSn6 at the GGA-PBE level of DFT.

## Properties
Crystal system ... tetragonal
Fermi-level density of states ... 3.479 states/eV/cell
Energy relative to the elements ... -23 kJ/mol of formula units

Structure (CIF):
```
data_KGaSn6
_chemical_formula_sum 'K1 Ga1 Sn6'
_cell_length_a 5.022
_cell_length_b 5.022
_cell_length_c 10.047
_cell_angle_alpha 90.00
_cell_angle_beta 90.00
_cell_angle_gamma 90.00
_symmetry_space_group_name_H-M 'P 4/m m m'
_symmetry_Int_Tables_number 123
_symmetry_space_group_name_Hall '-P 4 2'
loop_
_atom_site_label
_atom_site_fract_x
_atom_site_fract_y
_atom_site_fract_z
K1 0.000 0.000 0.000
Ga1 0.000 0.000 0.500
Sn1 0.000 0.500 0.335
Sn2 0.500 0.500 0.154
```

---

[7]
Computed, not measured: an optimized crystal structure of KGa3Sn3 at the GGA-PBE level of DFT.

## Properties
Crystal system ... hexagonal
Fermi-level density of states ... 5.793 states/eV/cell
Relative energy among the computed polymorphs ... 2.04 kJ per mole of atoms
Energy relative to the elements ... -12 kJ/mol of formula units

Structure (CIF):
```
data_KGa3Sn3
_chemical_formula_sum 'K2 Ga6 Sn6'
_cell_length_a 10.9191
_cell_length_b 10.9191
_cell_length_c 4.5513
_cell_angle_alpha 90.00
_cell_angle_beta 90.00
_cell_angle_gamma 120.00
_symmetry_space_group_name_H-M 'P 63/m'
_symmetry_Int_Tables_number 176
_symmetry_space_group_name_Hall '-P 6c'
loop_
_atom_site_label
_atom_site_fract_x
_atom_site_fract_y
_atom_site_fract_z
K1 0.3333 0.6667 0.2500
Ga1 0.0804 0.6698 0.7500
Sn1 0.0746 0.4035 0.7500
```

---

[8]
Computed, not measured: an optimized crystal structure of KGa4Sn2 at the GGA-PBE level of DFT.

## Properties
Crystal system ... trigonal
Fermi-level density of states ... 9.259 states/eV/cell
Relative energy among the computed polymorphs ... 2.72 kJ per mole of atoms
Energy relative to the elements ... -36 kJ/mol of formula units

Structure (CIF):
```
data_KGa4Sn2
_chemical_formula_sum 'K3 Ga12 Sn6'
_cell_length_a 4.9324
_cell_length_b 4.9324
_cell_length_c 27.0333
_cell_angle_alpha 90.00
_cell_angle_beta 90.00
_cell_angle_gamma 120.00
_symmetry_space_group_name_H-M 'R -3 m'
_symmetry_Int_Tables_number 166
_symmetry_space_group_name_Hall '-R 3 2"'
loop_
_atom_site_label
_atom_site_fract_x
_atom_site_fract_y
_atom_site_fract_z
K1 0.0000 0.0000 0.0000
Ga1 0.0000 0.0000 0.1401
Ga2 0.0000 0.0000 0.4507
Sn1 0.0000 0.0000 0.2464
```